Here is crystalline TcRu2 at its relaxed geometry from Alexandria via LeMat-Bulk. Energies are from PBE.

The space group is Imma (No. 74) and the conventional cell measures 2.6860, 4.1228 and 16.8712 Å, with angles of 90.00, 90.00 and 90.00 degrees. The asymmetric unit holds Tc at (0.0000, 0.2500, 0.1098), Ru at (0.0000, 0.2500, 0.5376) and Ru at (0.0000, 0.2500, 0.6871).

As for the total energy: -9.23 eV/atom. Its density of states at the Fermi level is 3.86 states/eV/f.u. The volume comes out at 186.8 Å³/cell. As for the total magnetic moment: 0.0 μB per cell.

***

Here is crystalline Tc2Ru at its relaxed geometry from Alexandria via LeMat-Bulk. Energies are from PBE.

The space group is Immm (No. 71) and the conventional cell measures 2.7202, 3.8634 and 8.2094 Å, with angles of 90.00, 90.00 and 90.00 degrees. The asymmetric unit holds Tc at (0.0000, 0.0000, 0.1661) and Ru at (0.0000, 0.0000, 0.5000).

As for the total energy: -9.94 eV/atom. Its density of states at the Fermi level is 3.30 states/eV/f.u. The volume comes out at 86.3 Å³/cell. As for the total magnetic moment: 0.0 μB per cell.

***

Here is crystalline Tc2Ru at its relaxed geometry from Alexandria via LeMat-Bulk. Energies are from PBE.

The space group is P-3m1 (No. 164) and the conventional cell measures 2.7285, 2.7285 and 6.6980 Å, with angles of 90.00, 90.00 and 120.00 degrees. The asymmetric unit holds Tc at (0.3333, 0.6667, 0.1679) and Ru at (0.0000, 0.0000, 0.5000).

As for the total energy: -9.93 eV/atom. Its density of states at the Fermi level is 3.25 states/eV/f.u. The volume comes out at 43.2 Å³/cell. As for the total magnetic moment: 0.0 μB per cell.

***

Here is crystalline Tc2Ru at its relaxed geometry from Alexandria via LeMat-Bulk. Energies are from PBE.

The space group is C2/m (No. 12) and the conventional cell measures 9.9565, 2.7482 and 6.4608 Å, with angles of 90.00, 103.63 and 90.00 degrees. The asymmetric unit holds Tc at (0.1368, 0.0000, 0.0271), Tc at (0.1925, 0.0000, 0.6397) and Ru at (0.0280, 0.5000, 0.3050).

As for the total energy: -10.05 eV/atom. Its density of states at the Fermi level is 3.22 states/eV/f.u. The volume comes out at 171.8 Å³/cell. As for the total magnetic moment: 0.0 μB per cell.

***

Here is crystalline TcRu3 at its relaxed geometry from Alexandria via LeMat-Bulk. Energies are from PBE.

The space group is Pm-3m (No. 221) and the conventional cell measures 4.6782, 4.6782 and 4.6782 Å, with angles of 90.00, 90.00 and 90.00 degrees. The asymmetric unit holds Tc at (0.0000, 0.0000, 0.0000) and Ru at (0.0000, 0.0000, 0.5000).

As for the total energy: -7.20 eV/atom. Its density of states at the Fermi level is 6.55 states/eV/f.u. The volume comes out at 102.4 Å³/cell. As for the total magnetic moment: 3.4 μB per cell.

***

Here is crystalline TcRu3 at its relaxed geometry from Alexandria via LeMat-Bulk. Energies are from PBE.

The space group is Imm2 (No. 44) and the conventional cell measures 2.7391, 8.6433 and 4.7399 Å, with angles of 90.00, 90.00 and 90.00 degrees. The asymmetric unit holds Tc at (0.0000, 0.0000, 0.0000), Ru at (0.0000, 0.2504, 0.6669) and Ru at (0.0000, 0.5000, 0.0004).

As for the total energy: -9.59 eV/atom. Its density of states at the Fermi level is 3.83 states/eV/f.u. The volume comes out at 112.2 Å³/cell. As for the total magnetic moment: 0.0 μB per cell.

***

Here is crystalline Tc2Ru at its relaxed geometry from Alexandria via LeMat-Bulk. Energies are from PBE.

The space group is Imma (No. 74) and the conventional cell measures 2.7021, 4.1557 and 16.8739 Å, with angles of 90.00, 90.00 and 90.00 degrees. The asymmetric unit holds Tc at (0.0000, 0.2500, 0.0363), Tc at (0.0000, 0.2500, 0.1863) and Ru at (0.0000, 0.2500, 0.6103).

As for the total energy: -9.58 eV/atom. Its density of states at the Fermi level is 3.10 states/eV/f.u. The volume comes out at 189.5 Å³/cell. As for the total magnetic moment: 0.0 μB per cell.

***

Here is crystalline Tc4Ru at its relaxed geometry from Alexandria via LeMat-Bulk. Energies are from PBE.

The space group is Cmmm (No. 65) and the conventional cell measures 4.1716, 12.8794 and 2.7192 Å, with angles of 90.00, 90.00 and 90.00 degrees. The asymmetric unit holds Tc at (0.0000, 0.1061, 0.0000), Tc at (0.0000, 0.3003, 0.5000) and Ru at (0.0000, 0.5000, 0.5000).

As for the total energy: -10.02 eV/atom. Its density of states at the Fermi level is 5.17 states/eV/f.u. The volume comes out at 146.1 Å³/cell. As for the total magnetic moment: 0.0 μB per cell.

***

Here is crystalline Tc2Ru at its relaxed geometry from Alexandria via LeMat-Bulk. Energies are from PBE.

The space group is Cmcm (No. 63) and the conventional cell measures 3.8548, 11.6059 and 3.8569 Å, with angles of 90.00, 90.00 and 90.00 degrees. The asymmetric unit holds Tc at (0.0000, 0.0821, 0.2500), Tc at (0.0000, 0.2498, 0.7500) and Ru at (0.0000, 0.4174, 0.2500).

As for the total energy: -9.94 eV/atom. Its density of states at the Fermi level is 3.08 states/eV/f.u. The volume comes out at 172.6 Å³/cell. As for the total magnetic moment: 0.0 μB per cell.

***

Here is crystalline Tc2Ru at its relaxed geometry from Alexandria via LeMat-Bulk. Energies are from PBE.

The space group is Fm-3m (No. 225) and the conventional cell measures 5.8866, 5.8866 and 5.8866 Å, with angles of 90.00, 90.00 and 90.00 degrees. The asymmetric unit holds Tc at (0.2500, 0.2500, 0.2500) and Ru at (0.0000, 0.0000, 0.0000).

As for the total energy: -9.23 eV/atom. Its density of states at the Fermi level is 5.48 states/eV/f.u. The volume comes out at 204.0 Å³/cell. As for the total magnetic moment: 0.0 μB per cell.

***

Here is crystalline Tc3Ru5 at its relaxed geometry from Alexandria via LeMat-Bulk. Energies are from PBE.

The space group is Cmmm (No. 65) and the conventional cell measures 7.6581, 7.6625 and 3.8657 Å, with angles of 90.00, 90.00 and 90.00 degrees. The asymmetric unit holds Tc at (0.0000, 0.0000, 0.0000), Tc at (0.0000, 0.2514, 0.5000), Ru at (0.0000, 0.5000, 0.0000), Ru at (0.2488, 0.5000, 0.5000) and Ru at (0.2500, 0.2500, 0.0000).

As for the total energy: -9.63 eV/atom. Its density of states at the Fermi level is 9.91 states/eV/f.u. The volume comes out at 226.8 Å³/cell. As for the total magnetic moment: 0.0 μB per cell.

***

Here is crystalline TcRu2 at its relaxed geometry from Alexandria via LeMat-Bulk. Energies are from PBE.

The space group is P4/mmm (No. 123) and the conventional cell measures 4.2575, 4.2575 and 2.8231 Å, with angles of 90.00, 90.00 and 90.00 degrees. The asymmetric unit holds Tc at (0.0000, 0.0000, 0.0000) and Ru at (0.0000, 0.5000, 0.5000).

As for the total energy: -8.69 eV/atom. Its density of states at the Fermi level is 3.49 states/eV/f.u. The volume comes out at 51.2 Å³/cell. As for the total magnetic moment: 0.0 μB per cell.

***

Computed values of energy of formation (unit: eV per atom) for the preceding records, in sequence: 0.41 0.06 0.08 -0.04 2.34 -0.04 0.42 0.12 0.06 0.77 0.06 0.95.